# PBE+U LaNiPO2, optimized geometry
# - spin magnetization (μB per formula unit) = 1.34
# - SG = P4/mmm
# - DOS at the Fermi energy (states/eV/cell) = 5.319
# - E (eV per cell) = -23.979
# - mass density (g cm⁻³) = 5.3
data_LaNiPO2
_chemical_formula_sum 'La1 Ni1 P1 O2'
_cell_length_a 4.052
_cell_length_b 4.052
_cell_length_c 4.963
_cell_angle_alpha 90.00
_cell_angle_beta 90.00
_cell_angle_gamma 90.00
_space_group_name_H-M_alt 'P 1'
_space_group_IT_number 1
_space_group_name_Hall 'P 1'
loop_
_atom_site_label
_atom_site_type_symbol
_atom_site_fract_x
_atom_site_fract_y
_atom_site_fract_z
La1 La 0.000 0.000 0.000
Ni1 Ni 0.000 0.000 0.500
P1 P 0.500 0.500 0.000
O1 O 0.000 0.500 0.500
O2 O 0.500 0.000 0.500